GdY3Co | the Alexandria database | PBE | relaxed; crystal system = cubic; uncorrected energy = -40.69 eV for the cell shown
1.0
5.297 0.000 0.000
0.000 5.297 0.000
0.000 0.000 5.297
Gd Y Co
1 3 1
Direct
0.000 0.000 0.000 Gd
0.000 0.500 0.500 Y
0.500 0.000 0.500 Y
0.500 0.500 0.000 Y
0.500 0.500 0.500 Co